Record 1
USi6Ru12 (PBE, relaxed); E_form (uncorrected) = -0.300 eV/atom; total moment = 0.12 μB per atom; E = -8.465 eV/atom
1.0
-4.4372 -2.5354 -4.5815
4.0161 -5.3362 1.5822
-3.7855 0.9858 5.6396
U Si Ru
1 6 12
direct
0.0000 0.0000 0.0000
0.6895 0.2375 0.2375
0.2375 0.2375 0.6895
0.2375 0.6895 0.2375
0.7625 0.7625 0.3105
0.3105 0.7625 0.7625
0.7625 0.3105 0.7625
0.8685 0.1315 0.5000
0.8186 0.5541 0.5541
0.5541 0.5541 0.8186
0.4459 0.1814 0.4459
0.4459 0.4459 0.1814
0.1814 0.4459 0.4459
0.1315 0.5000 0.8685
0.5000 0.8685 0.1315
0.1315 0.8685 0.5000
0.8685 0.5000 0.1315
0.5000 0.1315 0.8685
0.5541 0.8186 0.5541

=====

Record 2
Ta5Rh (PBE, relaxed); total moment = 0.00 μB per atom; E = -11.331 eV/atom; energy above the lowest structure with this stoichiometry = 0.0 meV/atom
1.0
-1.6379 1.0716 2.6842
-4.4331 -3.0696 0.5761
1.7043 -5.3667 3.1824
Rh Ta
1 5
direct
0.9722 0.0556 0.9445
0.6375 0.7250 0.7784
0.3069 0.3862 0.6131
0.9722 0.0556 0.4444
0.6376 0.7249 0.2757
0.3069 0.3861 0.1104

=====

Record 3
TiIn2Br4 (PBE, relaxed); E_form (uncorrected) = -0.750 eV/atom; total moment = 0.29 μB per atom; E = -3.616 eV/atom
1.0
-2.4467 -4.6358 0.2307
3.8533 -2.1741 -2.8205
4.8002 -5.2192 5.7006
Ti Br In
1 4 2
direct
0.0000 0.0000 0.0000
0.8370 0.8370 0.3261
0.1630 0.1630 0.6739
0.0000 0.5000 0.0000
0.5000 0.0000 0.0000
0.6434 0.6434 0.7133
0.3566 0.3566 0.2868